Density functional theory data (GGA-PBE) for ZrCrPt after structural relaxation.

Lattice parameters (Å, degrees): 4.4530 4.4530 4.4530 60.00 60.00 60.00
Closest atoms and distances in Å follow each position.
Element x y z (fractional)
Cr 0.5000 0.5000 0.5000  4 Pt 2.73
Pt 0.2500 0.2500 0.2500  4 Zr 2.73, 4 Cr 2.73
Zr 0.0000 0.0000 0.0000  4 Pt 2.73

Output
- Magnetization: 1.175 μB/atom
- N(E_F): 2.6 states/eV/cell
- DFT formation energy: -13 kJ/mol of atoms
- SG: F-43m, No. 216
- ΔE to the lowest computed polymorph: 151.3 meV per atom